Computed, not measured: a relaxed structure of K2YCl at the PBE level of DFT.

Cell: 7.5775 7.5775 7.5775 Å, 141.20 141.20 56.04°
Sites, in units of the cell vectors:
K1 0.2500 0.7500 0.5000
Y1 0.5000 0.5000 0.0000
Cl1 0.7500 0.2500 0.5000
K2 0.0000 0.0000 0.0000

Values from the calculation:
Crystal system = tetragonal
Polymorph energy (0 for the lowest one) = 585 meV per atom
Formation energy without anion corrections = -33 meV/atom

Computed, not measured: a relaxed structure of K2YCl at the PBE level of DFT.

Cell: 7.6158 7.6158 7.6158 Å, 143.40 143.40 52.72°
Sites, in units of the cell vectors:
Cl1 0.7500 0.2500 0.5000
K1 0.0000 0.0000 0.0000
Y1 0.2500 0.7500 0.5000
K2 0.5000 0.5000 0.0000

Values from the calculation:
Crystal system = tetragonal
Polymorph energy (0 for the lowest one) = 609 meV per atom
Formation energy without anion corrections = -10 meV/atom

Computed, not measured: a relaxed structure of K2YCl2 at the PBE level of DFT.

Cell: 5.2947 5.2947 8.2583 Å, 71.30 71.30 90.00°
Sites, in units of the cell vectors:
K1 0.7500 0.2500 0.5000
K2 0.2500 0.7500 0.5000
Cl1 0.3528 0.3528 0.2943
Cl2 0.6472 0.6472 0.7057
Y1 0.0000 0.0000 0.0000

Values from the calculation:
Crystal system = tetragonal
Polymorph energy (0 for the lowest one) = 284 meV per atom
Formation energy without anion corrections = -673 meV/atom

Computed, not measured: a relaxed structure of K2YCl at the PBE level of DFT.

Cell: 7.4870 7.4870 7.2639 Å, 62.85 62.85 27.64°
Sites, in units of the cell vectors:
K1 0.7655 0.7655 0.7617
Y1 0.5752 0.5752 0.4663
K2 0.9360 0.9360 0.0930
Cl1 0.2233 0.2233 0.1790

Values from the calculation:
Crystal system = monoclinic
Polymorph energy (0 for the lowest one) = 164 meV per atom
Formation energy without anion corrections = -454 meV/atom

Computed, not measured: a relaxed structure of K3YCl6 at the PBE level of DFT.

Cell: 7.5361 7.9750 10.7997 Å, 90.00 88.97 90.00°
Sites, in units of the cell vectors:
K1 0.0000 0.0000 0.5000
K2 0.0280 0.5718 0.2575
Cl1 0.6296 0.4432 0.2730
K3 0.4720 0.0718 0.2425
K4 0.5280 0.9282 0.7575
Cl2 0.8313 0.7255 0.9229
Cl3 0.2175 0.3195 0.4431
Cl4 0.7825 0.6805 0.5569
Cl5 0.3313 0.7745 0.4229
Cl6 0.1296 0.0568 0.7730
Cl7 0.7175 0.1805 0.9431
Y1 0.5000 0.5000 0.5000
Cl8 0.1687 0.2745 0.0771
Cl9 0.6687 0.2255 0.5771
Cl10 0.3704 0.5568 0.7270
K5 0.9720 0.4282 0.7425
Cl11 0.8704 0.9432 0.2270
Y2 0.0000 0.0000 0.0000
Cl12 0.2825 0.8195 0.0569
K6 0.5000 0.5000 0.0000

Values from the calculation:
Crystal system = monoclinic
Formation energy without anion corrections = -2135 meV/atom

Computed, not measured: a relaxed structure of K2ZnCl4 at the PBE level of DFT.

Cell: 7.1515 7.1917 8.7832 Å, 90.00 108.32 90.00°
Sites, in units of the cell vectors:
Cl1 0.4830 0.9966 0.2590
Cl2 0.0725 0.7500 0.3619
K1 0.7726 0.7500 0.5686
K2 0.2274 0.2500 0.4314
Cl3 0.9067 0.2500 0.0665
Cl4 0.5170 0.0034 0.7410
Cl5 0.0933 0.7500 0.9335
Zn1 0.7328 0.2500 0.8000
Zn2 0.2672 0.7500 0.2000
K3 0.7093 0.7500 0.0492
Cl6 0.4830 0.5034 0.2590
K4 0.2907 0.2500 0.9508
Cl7 0.9275 0.2500 0.6381
Cl8 0.5170 0.4966 0.7410

Values from the calculation:
Crystal system = monoclinic
Formation energy without anion corrections = -1651 meV/atom

Computed, not measured: a relaxed structure of K2ZnCl4 at the PBE level of DFT.

Cell: 7.1869 9.0388 13.0516 Å, 90.00 90.00 90.00°
Sites, in units of the cell vectors:
Cl1 0.9970 0.3203 0.6486
K1 0.2500 0.4826 0.1811
Zn1 0.2500 0.2156 0.5704
K2 0.7500 0.3817 0.4394
Cl2 0.7500 0.6892 0.5932
Cl3 0.7500 0.1892 0.9068
Cl4 0.5030 0.3203 0.6486
Cl5 0.0030 0.6797 0.3514
Zn2 0.2500 0.7156 0.9296
Cl6 0.7500 0.5335 0.0732
Cl7 0.2500 0.9665 0.5732
K3 0.7500 0.8817 0.0606
Cl8 0.2500 0.4665 0.9268
K4 0.7500 0.0174 0.6811
Cl9 0.4970 0.6797 0.3514
K5 0.7500 0.5174 0.8189
Cl10 0.4970 0.1797 0.1486
Cl11 0.7500 0.0335 0.4268
Zn3 0.7500 0.2844 0.0704
Cl12 0.2500 0.8108 0.0932
Zn4 0.7500 0.7844 0.4296
K6 0.2500 0.1183 0.9394
Cl13 0.5030 0.8203 0.8514
K7 0.2500 0.9826 0.3189
Cl14 0.2500 0.3108 0.4068
Cl15 0.0030 0.1797 0.1486
Cl16 0.9970 0.8203 0.8514
K8 0.2500 0.6183 0.5606

Values from the calculation:
Crystal system = orthorhombic
Formation energy without anion corrections = -1642 meV/atom

Computed, not measured: a relaxed structure of KZn2Cl at the PBE level of DFT.

Cell: 7.2231 7.2231 7.2231 Å, 36.26 36.26 36.26°
Sites, in units of the cell vectors:
Cl1 0.4989 0.4989 0.4989
K1 0.7579 0.7579 0.7579
Zn1 0.2872 0.2872 0.2872
Zn2 0.9560 0.9560 0.9560

Values from the calculation:
Crystal system = trigonal
Polymorph energy (0 for the lowest one) = 84 meV per atom
Formation energy without anion corrections = -502 meV/atom

Computed, not measured: a relaxed structure of K2ZnCl at the PBE level of DFT.

Cell: 9.6092 9.6092 4.1695 Å, 77.39 77.39 23.31°
Sites, in units of the cell vectors:
K1 0.2802 0.2802 0.2182
Cl1 0.7041 0.7041 0.7947
K2 0.0684 0.0684 0.9317
Zn1 0.4473 0.4473 0.5554

Values from the calculation:
Crystal system = monoclinic
Polymorph energy (0 for the lowest one) = 23 meV per atom
Formation energy without anion corrections = -766 meV/atom

Computed, not measured: a relaxed structure of K12Zn3Cl5 at the PBE level of DFT.

Cell: 16.9889 16.9889 16.9889 Å, 109.47 109.47 109.47°
Sites, in units of the cell vectors:
K1 0.0353 0.6258 0.7104
K2 0.8250 0.9154 0.2896
Cl1 0.2500 0.8750 0.1250
K3 0.1258 0.7104 0.5353
K4 0.9154 0.0905 0.6258
K5 0.9647 0.5905 0.1750
Cl2 0.5000 0.5000 0.0000
Cl3 0.0000 0.0000 0.0000
K6 0.9154 0.8250 0.7896
Zn1 0.8750 0.1250 0.2500
Zn2 0.1250 0.2500 0.8750
Cl4 0.0000 0.0000 0.5000
K7 0.6258 0.5905 0.9154
K8 0.2896 0.8742 0.9647
K9 0.1258 0.4154 0.0905
Cl5 0.6250 0.7500 0.8750
K10 0.0353 0.4095 0.8250
Zn3 0.8750 0.7500 0.1250
K11 0.8742 0.2896 0.4647
K12 0.8250 0.9095 0.0353
K13 0.4095 0.3742 0.5846
K14 0.5905 0.6258 0.4154
Zn4 0.1250 0.8750 0.7500
Cl6 0.7500 0.1250 0.8750
Cl7 0.1250 0.3750 0.2500
K15 0.1750 0.0905 0.9647
Cl8 0.8750 0.6250 0.7500
Zn5 0.2500 0.6250 0.8750
K16 0.0846 0.1750 0.2104
K17 0.5353 0.2104 0.1258
Cl9 0.7500 0.6250 0.3750
K18 0.3250 0.7896 0.4154
K19 0.6258 0.0353 0.2104
K20 0.6750 0.2104 0.5846
Zn6 0.3750 0.6250 0.2500
K21 0.4647 0.7896 0.8742
K22 0.9095 0.8250 0.5353
K23 0.5905 0.9647 0.6750
K24 0.7104 0.5846 0.1750
Cl10 0.3750 0.2500 0.1250
K25 0.4154 0.1258 0.5905
Cl11 0.0000 0.5000 0.5000
Cl12 0.8750 0.2500 0.6250
Cl13 0.5000 0.5000 0.5000
K26 0.7104 0.1258 0.0353
K27 0.9647 0.3742 0.2896
Zn7 0.2500 0.1250 0.3750
K28 0.4647 0.6750 0.0905
K29 0.0905 0.1750 0.4647
Cl14 0.5000 0.0000 0.0000
K30 0.5353 0.3250 0.9095
Cl15 0.3750 0.1250 0.7500
Cl16 0.2500 0.3750 0.6250
Cl17 0.6250 0.8750 0.2500
K31 0.5846 0.7104 0.6750
K32 0.9095 0.0846 0.8742
Zn8 0.6250 0.3750 0.7500
K33 0.4154 0.2896 0.3250
K34 0.5846 0.8742 0.4095
Zn9 0.7500 0.3750 0.1250
K35 0.2896 0.4154 0.8250
Cl18 0.1250 0.7500 0.3750
K36 0.7896 0.4647 0.3742
Cl19 0.0000 0.5000 0.0000
K37 0.2104 0.5353 0.6258
Zn10 0.7500 0.8750 0.6250
Zn11 0.3750 0.7500 0.6250
Cl20 0.5000 0.0000 0.5000
K38 0.6750 0.4647 0.5905
K39 0.4095 0.0353 0.3250
K40 0.7896 0.3250 0.9154
K41 0.0905 0.9154 0.1258
K42 0.2104 0.6750 0.0846
K43 0.3250 0.5353 0.4095
K44 0.0846 0.9095 0.3742
K45 0.3742 0.4095 0.0846
Zn12 0.6250 0.2500 0.3750
K46 0.8742 0.5846 0.9095
K47 0.1750 0.0846 0.7104
K48 0.3742 0.9647 0.7896

Values from the calculation:
Crystal system = cubic
Formation energy without anion corrections = -792 meV/atom

Computed, not measured: a relaxed structure of KZn4Cl at the PBE level of DFT.

Cell: 5.8770 5.8770 5.8770 Å, 60.00 60.00 60.00°
Sites, in units of the cell vectors:
Cl1 0.7500 0.7500 0.7500
Zn1 0.3766 0.8701 0.3766
Zn2 0.8701 0.3766 0.3766
Zn3 0.3766 0.3766 0.8701
K1 0.0000 0.0000 0.0000
Zn4 0.3766 0.3766 0.3766

Values from the calculation:
Crystal system = cubic
Formation energy without anion corrections = -85 meV/atom

Computed, not measured: a relaxed structure of KZnCl3 at the PBE level of DFT.

Cell: 4.8929 7.8804 7.8837 Å, 74.06 88.95 88.94°
Sites, in units of the cell vectors:
K1 0.9982 0.1641 0.6030
Cl1 0.9764 0.0313 0.0622
Cl2 0.5112 0.3535 0.7925
Zn1 0.7427 0.6269 0.7166
K2 0.4853 0.7403 0.1793
Cl3 0.9762 0.6237 0.4703
Cl4 0.9741 0.5511 0.9899
Zn2 0.7429 0.2775 0.0657
Cl5 0.5083 0.2806 0.3116
Cl6 0.5080 0.8728 0.7199

Values from the calculation:
Crystal system = monoclinic
Formation energy without anion corrections = -1489 meV/atom

- Which of these has the lowest formation energy without anion corrections?
  K3YCl6

- Which value of formation energy without anion corrections does entry 10 give?
  -792 meV/atom